MgTcSb2 | GGA-PBE | relaxed

a = 7.270 Å, b = 7.270 Å, c = 7.270 Å
α = 154.22°, β = 147.61°, γ = 41.85°
Fractional coordinates of all 4 atoms:
Mg1 0.311 0.811 0.500
Sb1 0.968 0.968 0.000
Sb2 0.690 0.190 0.500
Tc1 0.531 0.531 0.000

**Crystal system**: orthorhombic
**Raw formation energy**: 0.031 eV/atom
**E above lowest polymorph**: 40 meV/atom